1.
# PBEsol Li5Zr, optimized geometry
data_Li5Zr
_chemical_formula_sum 'Li10 Zr2'
_space_group_name_H-M_alt 'C 1 m 1'
_space_group_IT_number 8
_cell_length_a 11.679
_cell_length_b 2.801
_cell_length_c 7.344
_cell_angle_alpha 90.00
_cell_angle_beta 105.13
_cell_angle_gamma 90.00
loop_
_space_group_symop_operation_xyz
'x,y,z'
'x,-y,z'
'x+1/2,y+1/2,z'
'x+1/2,-y+1/2,z'
loop_
_atom_site_label
_atom_site_fract_x
_atom_site_fract_y
_atom_site_fract_z
Li1 0.000 0.000 0.000
Li2 0.059 0.000 0.621
Li3 0.151 0.500 0.331
Li4 0.224 0.500 0.955
Li5 0.332 0.000 0.673
Zr1 0.381 0.000 0.290
# Energy (eV per atom): -2.96
# Formation energy from the elements (eV/atom): 0.1910
# Mass density (Mg/m³): 1.8
# DOS at the Fermi energy (states/eV per cell): 7.296

---

2.
# PBEsol LiZr3, optimized geometry
data_LiZr3
_chemical_formula_sum 'Li1 Zr3'
_space_group_name_H-M_alt 'P 4/m m m'
_space_group_IT_number 123
_space_group_name_Hall '-P 4 2'
_cell_length_a 3.154
_cell_length_b 3.154
_cell_length_c 8.441
_cell_angle_alpha 90.00
_cell_angle_beta 90.00
_cell_angle_gamma 90.00
loop_
_atom_site_label
_atom_site_fract_x
_atom_site_fract_y
_atom_site_fract_z
Li1 0.000 0.000 0.000
Zr1 0.000 0.000 0.500
Zr2 0.500 0.500 0.245
# Energy (eV per atom): -7.18
# Formation energy from the elements (eV/atom): 0.1298
# Mass density (Mg/m³): 5.5
# Energy relative to the lowest polymorph listed for this composition (eV/atom): 0.000
# DOS at the Fermi energy (states/eV per cell): 3.250

---

3.
# PBEsol Lu, optimized geometry
data_Lu
_chemical_formula_sum 'Lu2'
_space_group_name_H-M_alt 'P 63/m m c'
_space_group_IT_number 194
_space_group_name_Hall '-P 6c 2c'
_cell_length_a 3.4552
_cell_length_b 3.4552
_cell_length_c 5.3606
_cell_angle_alpha 90.00
_cell_angle_beta 90.00
_cell_angle_gamma 120.00
loop_
_atom_site_label
_atom_site_fract_x
_atom_site_fract_y
_atom_site_fract_z
Lu1 0.3333 0.6667 0.2500
# Energy (eV per atom): -4.87
# Formation energy from the elements (eV/atom): 0.0000
# Mass density (Mg/m³): 10.5
# Energy relative to the lowest polymorph listed for this composition (eV/atom): 0.000
# DOS at the Fermi energy (states/eV per cell): 3.138